Density functional theory data (PBE) for a relaxed K2Ho2TcO6 crystal.

Its total energy is -155.609 eV/cell. For the uncorrected formation energy, the calculation gives -2.394 eV/atom.

The space group is C2/m (No. 12) and the conventional cell measures 5.7866, 9.9338 and 6.5871 Å, with angles of 90.00, 105.63 and 90.00 degrees. The distinct sites, in fractional coordinates, are K at (0.0000, 0.1621, 0.0000), Ho at (0.0000, 0.3350, 0.5000), Tc at (0.0000, 0.0000, 0.5000), O at (0.2063, 0.1571, 0.6721) and O at (0.2492, 0.5000, 0.6738).

---

Density functional theory data (PBE) for a relaxed KHo2TcO8 crystal.

Its total energy is -85.458 eV/cell. For the uncorrected formation energy, the calculation gives -2.098 eV/atom.

The space group is P-1 (No. 2) and the conventional cell measures 4.5590, 4.8587 and 7.6115 Å, with angles of 92.96, 98.42 and 94.60 degrees. The distinct sites, in fractional coordinates, are K at (0.0000, 0.0000, 0.0000), Ho at (0.4144, 0.4793, 0.7132), Tc at (0.0000, 0.0000, 0.5000), O at (0.1038, 0.7098, 0.3478), O at (0.2626, 0.9085, 0.7059), O at (0.3056, 0.2485, 0.4437) and O at (0.3355, 0.4953, 0.0067).